# 1
Here is a relaxed SmNpAl crystal from Alexandria. Energies are from GGA-PBE.

M_tot: 1.6 μB/f.u.
Volume: 146 Å³ per cell

Cell: 3.5612 5.2044 8.1412 Å, 96.63 102.63 90.00°
Element x y z (fractional)
Np1 0.7576 0.1586 0.5151
Np2 0.2424 0.8414 0.4849
Al1 0.5877 0.8037 0.1754
Al2 0.4123 0.1963 0.8246
Sm1 0.9181 0.7055 0.8361
Sm2 0.0819 0.2945 0.1639

# 2
Here is a relaxed NpAlSn crystal from Alexandria. Energies are from GGA-PBE.

M_tot: 4.8 μB/f.u.
Volume: 76 Å³ per cell

Cell: 3.0259 3.0259 8.5216 Å, 100.23 100.23 90.00°
Element x y z (fractional)
Np1 0.1258 0.1258 0.2515
Sn1 0.7784 0.7784 0.5567
Al1 0.9459 0.9459 0.8918

# 3
Here is a relaxed NpAl2Sn crystal from Alexandria. Energies are from GGA-PBE.

M_tot: 4.0 μB/f.u.
Volume: 84 Å³ per cell

Cell: 4.3179 4.4145 4.4145 Å, 90.00 90.00 90.00°
Element x y z (fractional)
Np1 0.5000 0.5000 0.5000
Sn1 0.5000 0.0000 0.0000
Al1 0.0000 0.0000 0.5000
Al2 0.0000 0.5000 0.0000

These records have ΔH_f (0 K) values of -53; 397; -114 meV per atom, in the order they appear.